Entry 1:
ReTc2 GGA-PBEsol optimized geometry; ΔE_f = -0.06 kcal/mol of atoms; DFT total energy = -11.96 eV/atom; total magnetic moment = 0.00 Bohr magnetons per cell
1.0
4.983 -1.365 0.000
4.983 1.365 0.000
-1.610 0.000 6.249
Re Tc
2 4
direct
0.029 0.029 0.306
0.971 0.971 0.694
0.305 0.305 0.361
0.360 0.360 0.973
0.640 0.640 0.027
0.695 0.695 0.639

Entry 2:
Re2Tc GGA-PBEsol optimized geometry; ΔE_f = 1.42 kcal/mol of atoms; DFT total energy = -12.58 eV/atom; total magnetic moment = 0.00 Bohr magnetons per cell
1.0
-1.365 1.936 4.099
1.365 -1.936 4.099
1.365 1.936 -4.099
Re Tc
2 1
direct
0.166 0.166 0.000
0.834 0.834 0.000
0.500 0.500 0.000

Entry 3:
Re2Tc GGA-PBEsol optimized geometry; ΔE_f = 1.43 kcal/mol of atoms; DFT total energy = -12.58 eV/atom; total magnetic moment = 0.00 Bohr magnetons per cell
1.0
-1.933 1.933 11.599
1.933 -1.933 11.599
1.933 1.933 -11.599
Re Tc
8 4
direct
0.125 0.375 0.750
0.291 0.541 0.750
0.375 0.125 0.250
0.459 0.709 0.750
0.541 0.291 0.250
0.625 0.875 0.750
0.709 0.459 0.250
0.875 0.625 0.250
0.041 0.791 0.250
0.209 0.959 0.250
0.791 0.041 0.750
0.959 0.209 0.750

Entry 4:
ReTc2 GGA-PBEsol optimized geometry; ΔE_f = 1.51 kcal/mol of atoms; DFT total energy = -11.89 eV/atom; total magnetic moment = 0.00 Bohr magnetons per cell
1.0
-1.359 1.925 4.081
1.359 -1.925 4.081
1.359 1.925 -4.081
Re Tc
1 2
direct
0.000 0.000 0.000
0.333 0.333 0.000
0.667 0.667 0.000

Entry 5:
Re3Tc GGA-PBEsol optimized geometry; ΔE_f = 0.05 kcal/mol of atoms; DFT total energy = -12.81 eV/atom; total magnetic moment = 0.00 Bohr magnetons per cell
1.0
4.752 0.000 0.000
0.000 8.859 0.000
0.000 0.000 5.488
Re Tc
12 4
direct
0.084 0.250 0.125
0.249 0.502 0.375
0.249 0.998 0.375
0.251 0.002 0.875
0.251 0.498 0.875
0.416 0.750 0.625
0.584 0.250 0.375
0.749 0.502 0.125
0.749 0.998 0.125
0.751 0.002 0.625
0.751 0.498 0.625
0.916 0.750 0.875
0.084 0.250 0.625
0.416 0.750 0.125
0.584 0.250 0.875
0.916 0.750 0.375

Entry 6:
Re3Tc GGA-PBEsol optimized geometry; ΔE_f = 1.40 kcal/mol of atoms; DFT total energy = -12.75 eV/atom; total magnetic moment = 0.00 Bohr magnetons per cell
1.0
-1.936 1.936 7.738
1.936 -1.936 7.738
1.936 1.936 -7.738
Re Tc
6 2
direct
0.000 0.500 0.500
0.125 0.125 0.000
0.250 0.750 0.500
0.500 0.000 0.500
0.750 0.250 0.500
0.875 0.875 0.000
0.375 0.375 0.000
0.625 0.625 0.000

Entry 7:
Re2Tc GGA-PBEsol optimized geometry; ΔE_f = 1.39 kcal/mol of atoms; DFT total energy = -12.58 eV/atom; total magnetic moment = 0.00 Bohr magnetons per cell
1.0
1.933 -5.796 0.000
1.933 5.796 0.000
0.000 0.000 3.870
Re Tc
4 2
direct
0.083 0.917 0.750
0.250 0.750 0.250
0.750 0.250 0.750
0.917 0.083 0.250
0.417 0.583 0.750
0.583 0.417 0.250

Entry 8:
Re3Tc GGA-PBEsol optimized geometry; ΔE_f = -0.04 kcal/mol of atoms; DFT total energy = -12.82 eV/atom; total magnetic moment = 0.00 Bohr magnetons per cell
1.0
2.743 0.000 0.000
-1.372 2.376 0.000
0.000 0.000 8.872
Re Tc
3 1
direct
0.000 0.000 0.000
0.333 0.667 0.252
0.333 0.667 0.748
0.000 0.000 0.500

Entry 9:
Re3Tc GGA-PBEsol optimized geometry; ΔE_f = 1.50 kcal/mol of atoms; DFT total energy = -12.75 eV/atom; total magnetic moment = 0.00 Bohr magnetons per cell
1.0
1.370 0.791 8.928
-1.370 0.791 8.928
0.000 -1.582 8.928
Re Tc
3 1
direct
0.000 0.000 0.000
0.249 0.249 0.249
0.751 0.751 0.751
0.500 0.500 0.500

Entry 10:
ReTc2 GGA-PBEsol optimized geometry; ΔE_f = 23.07 kcal/mol of atoms; DFT total energy = -10.95 eV/atom; total magnetic moment = 0.00 Bohr magnetons per cell
1.0
4.187 0.000 0.000
0.000 4.187 0.000
0.000 0.000 2.909
Re Tc
1 2
direct
0.000 0.000 0.000
0.000 0.500 0.500
0.500 0.000 0.500

Entry 11:
Re2Tc GGA-PBEsol optimized geometry; ΔE_f = -0.08 kcal/mol of atoms; DFT total energy = -12.65 eV/atom; total magnetic moment = 0.00 Bohr magnetons per cell
1.0
5.016 -1.371 0.000
5.016 1.371 0.000
-1.642 0.000 6.276
Re Tc
4 2
direct
0.000 0.000 0.000
0.056 0.056 0.611
0.389 0.389 0.280
0.723 0.723 0.945
0.333 0.333 0.668
0.668 0.668 0.335

Entry 12:
Re5Tc GGA-PBEsol optimized geometry; ΔE_f = 1.43 kcal/mol of atoms; DFT total energy = -12.93 eV/atom; total magnetic moment = 0.00 Bohr magnetons per cell
1.0
1.937 -5.810 0.000
1.937 5.810 0.000
0.000 0.000 3.879
Re Tc
5 1
direct
0.000 0.000 0.000
0.166 0.834 0.500
0.334 0.666 0.000
0.666 0.334 0.000
0.834 0.166 0.500
0.500 0.500 0.500